Compound: NaTl2H
Source: the Alexandria database
Functional: PBE-GGA
Structure: optimized geometry

abc: 5.112 5.112 5.112
angles: 60.00 60.00 60.00
Fractional coordinates of all 4 atoms:
Na: 0.000 0.000 0.000
Tl: 0.250 0.250 0.250
Tl: 0.750 0.750 0.750
H: 0.500 0.500 0.500

## Properties
- Energy above the lowest structure with this stoichiometry: 210.8 meV/atom
- Total magnetic moment: 0.00 μB per formula unit
- Fermi-level density of states: 1.51 states/eV/f.u.
- Space group: No. 225